# 1
K4Rb2Cd: relaxed, PBE.

Unit cell a=11.948 b=11.948 c=11.948 alpha=95.24 beta=95.24 gamma=144.83
Positions (direct):
K1 0.091 0.812 0.903
K2 0.188 0.091 0.279
K3 0.312 0.591 0.903
K4 0.409 0.312 0.721
K5 0.591 0.688 0.279
K6 0.688 0.409 0.097
K7 0.812 0.909 0.721
K8 0.909 0.188 0.097
Rb1 0.111 0.389 0.500
Rb2 0.389 0.889 0.278
Rb3 0.611 0.111 0.722
Rb4 0.889 0.611 0.500
Cd1 0.250 0.250 0.000
Cd2 0.750 0.750 0.000

Output
Offset from the most stable computed form: 0.000 eV per atom
DFT formation energy: -0.008 eV per atom
Volume: 66.9 A^3/atom

***

# 2
ScAgSb2: relaxed, PBE.

Unit cell a=7.876 b=7.876 c=6.348 alpha=90.00 beta=90.00 gamma=90.00
Positions (direct):
Sc1 0.000 0.000 0.000
Sc2 0.000 0.500 0.250
Sc3 0.500 0.000 0.750
Sc4 0.500 0.500 0.500
Ag1 0.000 0.000 0.500
Ag2 0.000 0.500 0.750
Ag3 0.500 0.000 0.250
Ag4 0.500 0.500 0.000
Sb1 0.231 0.250 0.625
Sb2 0.250 0.731 0.875
Sb3 0.250 0.769 0.375
Sb4 0.269 0.250 0.125
Sb5 0.731 0.750 0.125
Sb6 0.750 0.231 0.375
Sb7 0.750 0.269 0.875
Sb8 0.769 0.750 0.625

Output
Formation energy from raw total energies: -4.9 kcal/mol of atoms
Volume: 24.6 A^3/atom

***

# 3
LaPr3Nd4: relaxed, PBE.

Unit cell a=12.029 b=7.464 c=6.458 alpha=90.00 beta=90.00 gamma=90.00
Positions (direct):
La1 0.000 0.125 0.000
La2 0.500 0.875 0.500
Pr1 0.000 0.873 0.500
Pr2 0.250 0.126 0.667
Pr3 0.250 0.874 0.167
Pr4 0.500 0.127 0.000
Pr5 0.750 0.126 0.667
Pr6 0.750 0.874 0.167
Nd1 0.000 0.376 0.499
Nd2 0.000 0.623 0.000
Nd3 0.249 0.624 0.668
Nd4 0.251 0.376 0.168
Nd5 0.500 0.377 0.500
Nd6 0.500 0.624 0.999
Nd7 0.749 0.376 0.168
Nd8 0.751 0.624 0.668

Output
Offset from the most stable computed form: 0.021 eV per atom
DFT formation energy: 0.034 eV per atom
Volume: 36.2 A^3/atom

***

# 4
KH2I4: relaxed, PBE.

Unit cell a=6.533 b=8.171 c=12.083 alpha=109.51 beta=93.96 gamma=104.58
Positions (direct):
K1 0.000 0.000 0.000
K2 0.271 0.342 0.551
H1 0.013 0.248 0.762
H2 0.208 0.654 0.256
H3 0.577 0.331 0.924
H4 0.769 0.250 0.382
I1 0.112 0.561 0.854
I2 0.228 0.974 0.270
I3 0.257 0.462 0.252
I4 0.552 0.162 0.980
I5 0.609 0.558 0.849
I6 0.724 0.971 0.263
I7 0.801 0.466 0.489
I8 0.967 0.022 0.682

Output
Offset from the most stable computed form: 0.000 eV per atom
Volume: 41.4 A^3/atom

***

# 5
Li2AcRhO4: relaxed, PBE.

Unit cell a=5.650 b=5.650 c=6.619 alpha=90.00 beta=90.00 gamma=90.00
Positions (direct):
Li1 0.000 0.500 0.250
Li2 0.000 0.500 0.750
Li3 0.500 0.000 0.250
Li4 0.500 0.000 0.750
Ac1 0.000 0.000 0.000
Ac2 0.500 0.500 0.500
Rh1 0.000 0.000 0.500
Rh2 0.500 0.500 0.000
O1 0.220 0.220 0.347
O2 0.220 0.780 0.653
O3 0.280 0.280 0.847
O4 0.280 0.720 0.153
O5 0.720 0.280 0.153
O6 0.720 0.720 0.847
O7 0.780 0.220 0.653
O8 0.780 0.780 0.347

Output
Formation energy from raw total energies: -39.9 kcal/mol of atoms
Volume: 13.2 A^3/atom

***

# 6
LaTb5Sc2: relaxed, PBE.

Unit cell a=11.356 b=12.214 c=7.074 alpha=90.00 beta=90.00 gamma=90.00
Positions (direct):
La1 0.247 0.078 0.000
La2 0.253 0.578 0.000
La3 0.747 0.422 0.000
La4 0.753 0.922 0.000
Tb1 0.000 0.247 0.000
Tb2 0.000 0.500 0.256
Tb3 0.000 0.500 0.744
Tb4 0.000 0.753 0.000
Tb5 0.002 0.245 0.500
Tb6 0.249 0.833 0.256
Tb7 0.249 0.833 0.744
Tb8 0.251 0.333 0.256
Tb9 0.251 0.333 0.744
Tb10 0.498 0.745 0.500
Tb11 0.500 0.000 0.256
Tb12 0.500 0.000 0.744
Tb13 0.500 0.253 0.000
Tb14 0.500 0.747 0.000
Tb15 0.502 0.255 0.500
Tb16 0.749 0.667 0.256
Tb17 0.749 0.667 0.744
Tb18 0.751 0.167 0.256
Tb19 0.751 0.167 0.744
Tb20 0.998 0.755 0.500
Sc1 0.000 0.000 0.261
Sc2 0.000 0.000 0.739
Sc3 0.246 0.083 0.500
Sc4 0.254 0.583 0.500
Sc5 0.500 0.500 0.261
Sc6 0.500 0.500 0.739
Sc7 0.746 0.417 0.500
Sc8 0.754 0.917 0.500

Output
DFT formation energy: 0.042 eV per atom
Volume: 30.7 A^3/atom

***

# 7
DyPuCuNi: relaxed, PBE.

Unit cell a=6.841 b=6.841 c=6.841 alpha=90.00 beta=90.00 gamma=90.00
Positions (direct):
Dy1 0.000 0.000 0.000
Dy2 0.000 0.500 0.500
Dy3 0.500 0.000 0.500
Dy4 0.500 0.500 0.000
Pu1 0.000 0.000 0.500
Pu2 0.000 0.500 0.000
Pu3 0.500 0.000 0.000
Pu4 0.500 0.500 0.500
Cu1 0.250 0.250 0.250
Cu2 0.250 0.750 0.750
Cu3 0.750 0.250 0.750
Cu4 0.750 0.750 0.250
Ni1 0.250 0.250 0.750
Ni2 0.250 0.750 0.250
Ni3 0.750 0.250 0.250
Ni4 0.750 0.750 0.750

Output
DFT formation energy: -0.093 eV per atom
Volume: 20.0 A^3/atom

***

# 8
NbVCuPd: relaxed, PBE.

Unit cell a=6.217 b=6.217 c=6.217 alpha=90.00 beta=90.00 gamma=90.00
Positions (direct):
Nb1 0.000 0.000 0.000
Nb2 0.000 0.500 0.500
Nb3 0.500 0.000 0.500
Nb4 0.500 0.500 0.000
V1 0.250 0.250 0.750
V2 0.250 0.750 0.250
V3 0.750 0.250 0.250
V4 0.750 0.750 0.750
Cu1 0.250 0.250 0.250
Cu2 0.250 0.750 0.750
Cu3 0.750 0.250 0.750
Cu4 0.750 0.750 0.250
Pd1 0.000 0.000 0.500
Pd2 0.000 0.500 0.000
Pd3 0.500 0.000 0.000
Pd4 0.500 0.500 0.500

Output
DFT formation energy: 0.083 eV per atom
Volume: 15.0 A^3/atom